Entry 1:
The following is a GGA-PBE calculation of crystalline KSm at its relaxed geometry, from OQMD.

Properties
calculated volume: 187 Å³/cell
raw total energy: -1.71 eV per atom
density: 3.36 Mg/m³

Unit cell a=6.020 b=6.020 c=5.971 alpha=90.00 beta=90.00 gamma=120.00
Each line ends with the local moment (μB).
Fractional coordinates of all 4 atoms:
K 0.000 0.000 0.000  0.04
K 0.000 0.000 0.500  0.04
Sm 0.333 0.667 0.250  0.47
Sm 0.667 0.333 0.750  0.47



Entry 2:
The following is a GGA-PBE calculation of crystalline KSm2 at its relaxed geometry, from OQMD.

Properties
calculated volume: 133 Å³/cell
raw total energy: -2.31 eV per atom
density: 4.26 Mg/m³

Unit cell a=5.723 b=5.723 c=5.723 alpha=60.00 beta=60.00 gamma=60.00
Each line ends with the local moment (μB).
Fractional coordinates of all 3 atoms:
K 0.000 0.000 0.000  0.04
Sm 0.250 0.250 0.250  0.37
Sm 0.750 0.750 0.750  0.37



Entry 3:
The following is a GGA-PBE calculation of crystalline KSm at its relaxed geometry, from OQMD.

Properties
calculated volume: 162 Å³/cell
raw total energy: -1.10 eV per atom
density: 1.94 Mg/m³

Unit cell a=6.118 b=6.118 c=6.118 alpha=60.00 beta=60.00 gamma=60.00
Each line ends with the local moment (μB).
Fractional coordinates of all 2 atoms:
K 0.000 0.000 0.000  0.04
Sm 0.250 0.250 0.250  0.76



Entry 4:
The following is a GGA-PBE calculation of crystalline KSrSmTe3 at its relaxed geometry, from OQMD.

Properties
calculated volume: 438 Å³/cell
raw total energy: -3.98 eV per atom
density: 5.00 Mg/m³

Unit cell a=8.034 b=8.034 c=11.907 alpha=90.00 beta=90.00 gamma=145.27
Fractional coordinates of all 12 atoms:
K 0.478 0.522 0.250
K 0.522 0.478 0.750
Sm 0.000 0.000 0.000
Sm 0.000 0.000 0.500
Sr 0.752 0.248 0.250
Sr 0.248 0.752 0.750
Te 0.358 0.642 0.036
Te 0.105 0.895 0.250
Te 0.358 0.642 0.464
Te 0.642 0.358 0.536
Te 0.895 0.105 0.750
Te 0.642 0.358 0.964



Entry 5:
The following is a GGA-PBE calculation of crystalline KTbSm at its relaxed geometry, from OQMD.

Properties
calculated volume: 147 Å³/cell
relative energy among the computed polymorphs: 0.0 meV/atom
raw total energy: -2.31 eV per atom
density: 3.94 Mg/m³

Unit cell a=5.920 b=5.920 c=5.920 alpha=60.00 beta=60.00 gamma=60.00
Fractional coordinates of all 3 atoms:
K 0.250 0.250 0.250
Sm 0.000 0.000 0.000
Tb 0.750 0.750 0.750



Entry 6:
The following is a GGA-PBE calculation of crystalline KSmTc at its relaxed geometry, from OQMD.

Properties
calculated volume: 91 Å³/cell
relative energy among the computed polymorphs: 0.0 meV/atom
raw total energy: -3.81 eV per atom
density: 5.27 Mg/m³

Unit cell a=5.040 b=5.040 c=5.040 alpha=60.00 beta=60.00 gamma=60.00
Fractional coordinates of all 3 atoms:
K 0.250 0.250 0.250
Sm 0.000 0.000 0.000
Tc 0.750 0.750 0.750



Entry 7:
The following is a GGA-PBE calculation of crystalline KSmTe at its relaxed geometry, from OQMD.

Properties
calculated volume: 110 Å³/cell
relative energy among the computed polymorphs: 0.0 meV/atom
raw total energy: -3.39 eV per atom
density: 4.81 Mg/m³

Unit cell a=5.370 b=5.370 c=5.370 alpha=60.00 beta=60.00 gamma=60.00
Fractional coordinates of all 3 atoms:
K 0.250 0.250 0.250
Sm 0.750 0.750 0.750
Te 0.000 0.000 0.000



Entry 8:
The following is a GGA-PBE calculation of crystalline KSmTe4 at its relaxed geometry, from OQMD.

Properties
calculated volume: 430 Å³/cell
raw total energy: -4.01 eV per atom
density: 5.41 Mg/m³

Unit cell a=6.908 b=6.908 c=9.005 alpha=90.00 beta=90.00 gamma=90.00
Fractional coordinates of all 12 atoms:
K 0.000 0.000 0.000
K 0.500 0.500 0.000
Sm 0.000 0.000 0.500
Sm 0.500 0.500 0.500
Te 0.645 0.145 0.290
Te 0.145 0.355 0.290
Te 0.855 0.645 0.290
Te 0.355 0.855 0.290
Te 0.355 0.145 0.710
Te 0.855 0.355 0.710
Te 0.145 0.645 0.710
Te 0.645 0.855 0.710



Entry 9:
The following is a GGA-PBE calculation of crystalline KSmTl at its relaxed geometry, from OQMD.

Properties
calculated volume: 119 Å³/cell
relative energy among the computed polymorphs: 0.0 meV/atom
raw total energy: -2.46 eV per atom
density: 5.48 Mg/m³

Unit cell a=5.527 b=5.527 c=5.527 alpha=60.00 beta=60.00 gamma=60.00
Fractional coordinates of all 3 atoms:
K 0.250 0.250 0.250
Sm 0.750 0.750 0.750
Tl 0.000 0.000 0.000



Entry 10:
The following is a GGA-PBE calculation of crystalline KSmTm at its relaxed geometry, from OQMD.

Properties
calculated volume: 143 Å³/cell
relative energy among the computed polymorphs: 0.0 meV/atom
raw total energy: -2.28 eV per atom
density: 4.16 Mg/m³

Unit cell a=5.872 b=5.872 c=5.872 alpha=60.00 beta=60.00 gamma=60.00
Fractional coordinates of all 3 atoms:
K 0.250 0.250 0.250
Sm 0.750 0.750 0.750
Tm 0.000 0.000 0.000



Entry 11:
The following is a GGA-PBE calculation of crystalline KSmU at its relaxed geometry, from OQMD.

Properties
calculated volume: 131 Å³/cell
relative energy among the computed polymorphs: 0.0 meV/atom
raw total energy: -3.85 eV per atom
density: 5.40 Mg/m³

Unit cell a=5.706 b=5.706 c=5.706 alpha=60.00 beta=60.00 gamma=60.00
Fractional coordinates of all 3 atoms:
K 0.250 0.250 0.250
Sm 0.000 0.000 0.000
U 0.750 0.750 0.750



Entry 12:
The following is a GGA-PBE calculation of crystalline KSmW at its relaxed geometry, from OQMD.

Properties
calculated volume: 99 Å³/cell
relative energy among the computed polymorphs: 0.0 meV/atom
raw total energy: -4.15 eV per atom
density: 6.23 Mg/m³

Unit cell a=5.201 b=5.201 c=5.201 alpha=60.00 beta=60.00 gamma=60.00
Fractional coordinates of all 3 atoms:
K 0.250 0.250 0.250
Sm 0.000 0.000 0.000
W 0.750 0.750 0.750